[1]
## SrMnRe2 (PBE)

Data for a relaxed SrMnRe2 crystal.

Properties
Polymorph energy (0 for the lowest one) in meV per atom: 0
Calculated density in g/cm³: 9.27

abc: 4.330 4.330 6.208
angles: 69.60 69.60 59.98
Last column: magnetic moment on the atom in μB.
Atoms (fractional coordinates):
Sr (0.497, 0.497, 0.507)  0.02
Re (0.007, 0.007, 0.980)  -0.10
Re (0.695, 0.695, 0.914)  0.30
Mn (0.300, 0.300, 0.099)  3.36

***

[2]
## SrTaMn2Re (PBE)

Data for a relaxed SrTaMn2Re crystal.

Properties
E_tot in eV per atom: -6.709
Calculated density in g/cm³: 7.59

abc: 4.671 5.662 4.671
angles: 90.00 90.00 90.00
Last column: magnetic moment on the atom in μB.
Atoms (fractional coordinates):
Re (0.500, 0.500, 0.500)  2.75
Sr (0.000, 0.500, 0.000)  -0.07
Mn (0.500, 0.000, 0.000)  3.17
Mn (0.000, 0.000, 0.500)  2.76
Ta (0.000, 0.000, 0.000)  -0.95

***

Which of these has the lowest calculated density? SrTaMn2Re

***

Among the records above, which one has the highest calculated density? SrMnRe2

***

Look up the calculated density of the second one. 7.59 g/cm³

***

Which value of calculated density does entry 1 give? 9.27 g/cm³